The following is a DFT calculation (PBE) of a geometry-optimized FeAg2SbCl structure.

Properties
Volume in Å³ per cell: 133
Size of the total moment in Bohr magnetons per cell: 3.346
ΔE to the lowest computed polymorph in meV/atom: 545
Calculated total energy in eV for the cell shown: -14.950
Crystal system: tetragonal
Formation energy from raw total energies in eV/atom: 1.04

a b c (Å): 4.7812 4.7812 5.8284
angles (deg): 90.00 90.00 90.00
With the nearest neighbours (Å) after each atom.
Space group P4/mmm (No. 123)
Asymmetric unit:
Fe 0.0000 0.0000 0.0000 [1 per cell]  4 Sb 3.38, 8 Ag 3.77
Ag 0.0000 0.5000 0.5000 [2 per cell]  2 Cl 2.39
Sb 0.5000 0.5000 0.0000 [1 per cell]  2 Cl 2.91
Cl 0.5000 0.5000 0.5000 [1 per cell]  4 Ag 2.39